{
  "formula": "GaAgSn",
  "functional": "PBE",
  "state": "optimized geometry",
  "lattice_angstrom": [[-1.1924, 5.3765, 1.8403], [-0.4196, 0.5301, 7.1747], [3.9516, -2.4483, -0.0724]],
  "species": ["Ga", "Ga", "Ag", "Ag", "Sn", "Sn"],
  "fractional_positions": [[0.8911, 0.8423, 0.2294], [0.2696, 0.8804, 0.0270], [0.6569, 0.2207, 0.4139], [0.5023, 0.5015, 0.8421], [0.9198, 0.5550, 0.7476], [0.2393, 0.1674, 0.5082]],
  "e_form_ev_per_atom": 0.047,
  "space_group": "P1"
}